1.
This record from Alexandria describes crystalline Ce2BiPt at its relaxed geometry. The functional is PBE-GGA.

a b c (Å): 7.956 7.956 7.956
angles (deg): 31.14 31.14 31.14
Atoms (fractional coordinates):
Ce: 0.000 0.000 0.000
Ce: 0.193 0.193 0.193
Bi: 0.430 0.430 0.430
Pt: 0.597 0.597 0.597

Computed properties:
energy relative to the lowest polymorph listed for this composition = 0.23 eV/f.u.
SG = R3m
energy of formation from the pure elements = -0.775 eV/atom
crystal system = trigonal
total DFT energy (no corrections) = -6.2222 eV per atom
density of states at the Fermi level = 12.10 states/eV/cell

---

2.
This record from Alexandria describes crystalline La4Pd5Au2 at its relaxed geometry. The functional is PBE-GGA.

a b c (Å): 7.442 4.036 8.656
angles (deg): 90.00 91.31 90.00
Atoms (fractional coordinates):
La: 0.243 0.000 0.121
La: 0.254 0.000 0.616
La: 0.746 0.000 0.384
La: 0.757 0.000 0.879
Pd: 0.000 0.500 0.500
Pd: 0.027 0.500 0.828
Pd: 0.352 0.500 0.379
Pd: 0.648 0.500 0.621
Pd: 0.973 0.500 0.172
Au: 0.403 0.500 0.861
Au: 0.597 0.500 0.139

Computed properties:
SG = P2/m
energy of formation from the pure elements = -0.847 eV/atom
crystal system = monoclinic
total DFT energy (no corrections) = -5.5947 eV per atom
density of states at the Fermi level = 3.44 states/eV/cell

---

What is the density of states at the Fermi level in the first record? 12.10 states/eV/cell

---

Which of these has the highest density of states at the Fermi level? Ce2BiPt